(1)
# TmGa3CuAu

A geometry-optimized TmGa3CuAu structure (PBE, Alexandria via LeMat-Bulk).

Calculated values
total magnetization: 0.000 μB/f.u.
energy relative to the elements: -135 kJ/mol of formula units

abc: 7.3031 7.3031 5.9643
angles: 90.00 90.00 135.50
Closest atoms and distances in Å follow each position.
Atoms (fractional coordinates):
Tm (0.1943, 0.8057, 0.7500)  1 Cu 2.75, 2 Ga 2.90, 2 Au 3.00
Tm (0.8057, 0.1943, 0.2500)  1 Cu 2.75, 2 Ga 2.90, 2 Au 3.00
Ga (0.2256, 0.2256, 0.0000)  3 Ga 2.50-2.75, 2 Cu 2.54
Ga (0.2256, 0.2256, 0.5000)  3 Ga 2.50-2.75, 2 Cu 2.54
Ga (0.3707, 0.6293, 0.2500)  1 Au 2.71, 4 Ga 2.75, 2 Tm 2.90, 2 Cu 3.00
Ga (0.6293, 0.3707, 0.7500)  1 Au 2.71, 4 Ga 2.75, 2 Tm 2.90, 2 Cu 3.00
Ga (0.7744, 0.7744, 0.0000)  3 Ga 2.50-2.75, 2 Cu 2.54
Ga (0.7744, 0.7744, 0.5000)  3 Ga 2.50-2.75, 2 Cu 2.54
Cu (0.3977, 0.6023, 0.7500)  4 Ga 2.54, 1 Tm 2.75
Cu (0.6023, 0.3977, 0.2500)  4 Ga 2.54, 1 Tm 2.75
Au (0.1703, 0.8297, 0.2500)  5 Ga 2.71-3.01, 2 Cu 2.91, 2 Tm 3.00
Au (0.8297, 0.1703, 0.7500)  5 Ga 2.71-3.01, 2 Cu 2.91, 2 Tm 3.00



(2)
# PaCuSi2Mo

A geometry-optimized PaCuSi2Mo structure (PBE, Alexandria via LeMat-Bulk).

Calculated values
total magnetization: 0.000 μB/f.u.
E_form (uncorrected): -1.80 eV/f.u.

abc: 6.1330 6.1330 6.1330
angles: 142.81 142.81 53.62
Closest atoms and distances in Å follow each position.
Atoms (fractional coordinates):
Pa (0.0000, 0.0000, 0.0000)  8 Si 3.01, 4 Mo 3.36, 4 Cu 3.36
Cu (0.2500, 0.7500, 0.5000)  4 Si 2.49, 4 Mo 2.77
Si (0.3906, 0.3906, 0.0000)  1 Si 2.40, 2 Mo 2.49, 2 Cu 2.49
Si (0.6094, 0.6094, 0.0000)  1 Si 2.40, 2 Mo 2.49, 2 Cu 2.49
Mo (0.7500, 0.2500, 0.5000)  4 Si 2.49, 4 Cu 2.77



(3)
# NdSm2Sn2Hg2

A geometry-optimized NdSm2Sn2Hg2 structure (PBE, Alexandria via LeMat-Bulk).

Calculated values
total magnetization: 0.000 μB/f.u.
energy relative to the elements: -246 kJ/mol of formula units

abc: 9.6390 9.6390 9.6390
angles: 30.11 30.11 30.11
Closest atoms and distances in Å follow each position.
Atoms (fractional coordinates):
Nd (0.0000, 0.0000, 0.0000)  6 Sn 3.37, 2 Sm 3.61
Sm (0.1310, 0.1310, 0.1310)  3 Hg 3.05
Sm (0.8690, 0.8690, 0.8690)  3 Hg 3.05
Sn (0.2702, 0.2702, 0.2702)  3 Hg 3.03, 3 Nd 3.37
Sn (0.7298, 0.7298, 0.7298)  3 Hg 3.03, 3 Nd 3.37
Hg (0.4296, 0.4296, 0.4296)  3 Sn 3.03, 3 Sm 3.05
Hg (0.5704, 0.5704, 0.5704)  3 Sn 3.03, 3 Sm 3.05



(4)
# AcPr7Dy4

A geometry-optimized AcPr7Dy4 structure (PBE, Alexandria via LeMat-Bulk).

Calculated values
total magnetization: 0.000 μB/f.u.
energy relative to the elements: 16 kJ/mol of formula units

abc: 6.4319 7.4158 9.1479
angles: 90.05 103.53 90.03
Closest atoms and distances in Å follow each position.
Atoms (fractional coordinates):
Ac (0.0000, 0.0000, 0.0000)  2 Dy 3.70, 10 Pr 3.71-3.74
Pr (0.0000, 0.5000, 0.0000)  4 Dy 3.64-3.65, 6 Pr 3.68-3.69, 2 Ac 3.71
Pr (0.2262, 0.9987, 0.6616)  6 Pr 3.60-3.79, 5 Dy 3.63-3.77, 1 Ac 3.72
Pr (0.2831, 0.7450, 0.3375)  6 Dy 3.60-3.81, 5 Pr 3.60-3.79, 1 Ac 3.72
Pr (0.4995, 0.7436, 0.9979)  7 Pr 3.61-3.80, 3 Dy 3.65-3.67, 2 Ac 3.73-3.74
Pr (0.5005, 0.2564, 0.0021)  7 Pr 3.61-3.80, 3 Dy 3.65-3.67, 2 Ac 3.73-3.74
Pr (0.7169, 0.2550, 0.6625)  6 Dy 3.60-3.81, 5 Pr 3.60-3.79, 1 Ac 3.72
Pr (0.7738, 0.0013, 0.3384)  6 Pr 3.60-3.79, 5 Dy 3.63-3.77, 1 Ac 3.72
Dy (0.2164, 0.4990, 0.6646)  4 Dy 3.59-3.71, 8 Pr 3.62-3.71
Dy (0.2791, 0.2583, 0.3353)  8 Pr 3.60-3.81, 3 Dy 3.60-3.71, 1 Ac 3.70
Dy (0.7209, 0.7417, 0.6647)  8 Pr 3.60-3.81, 3 Dy 3.60-3.71, 1 Ac 3.70
Dy (0.7836, 0.5010, 0.3354)  4 Dy 3.59-3.71, 8 Pr 3.62-3.71



(5)
# Tm8PSe3S4

A geometry-optimized Tm8PSe3S4 structure (PBE, Alexandria via LeMat-Bulk).

Calculated values
total magnetization: 0.000 μB/f.u.
E_form (uncorrected): -29.14 eV/f.u.

abc: 7.8557 7.8557 7.8557
angles: 59.92 59.92 59.92
Closest atoms and distances in Å follow each position.
Atoms (fractional coordinates):
Tm (0.2286, 0.7543, 0.7543)  3 S 2.68-2.83, 1 P 2.73, 2 Se 2.87
Tm (0.2406, 0.2406, 0.2406)  3 S 2.68, 3 Se 2.88
Tm (0.2457, 0.2457, 0.7714)  3 S 2.68-2.83, 1 P 2.73, 2 Se 2.87
Tm (0.2457, 0.7714, 0.2457)  3 S 2.68-2.83, 1 P 2.73, 2 Se 2.87
Tm (0.7543, 0.2286, 0.7543)  3 S 2.68-2.83, 1 P 2.73, 2 Se 2.87
Tm (0.7543, 0.7543, 0.2286)  3 S 2.68-2.83, 1 P 2.73, 2 Se 2.87
Tm (0.7594, 0.7594, 0.7594)  3 S 2.68, 3 Se 2.88
Tm (0.7714, 0.2457, 0.2457)  3 S 2.68-2.83, 1 P 2.73, 2 Se 2.87
P (0.0000, 0.0000, 0.0000)  6 Tm 2.73
Se (0.0000, 0.5000, 0.5000)  6 Tm 2.87-2.88
Se (0.5000, 0.0000, 0.5000)  6 Tm 2.87-2.88
Se (0.5000, 0.5000, 0.0000)  6 Tm 2.87-2.88
S (0.0000, 0.0000, 0.5000)  6 Tm 2.68
S (0.0000, 0.5000, 0.0000)  6 Tm 2.68
S (0.5000, 0.0000, 0.0000)  6 Tm 2.68
S (0.5000, 0.5000, 0.5000)  6 Tm 2.83



(6)
# La4CePd15

A geometry-optimized La4CePd15 structure (PBE, Alexandria via LeMat-Bulk).

Calculated values
total magnetization: 0.174 μB/f.u.
energy relative to the elements: -1559 kJ/mol of formula units

abc: 4.2128 4.2128 21.0928
angles: 90.00 90.00 90.00
Closest atoms and distances in Å follow each position.
Atoms (fractional coordinates):
La (0.0000, 0.0000, 0.1006)  12 Pd 2.98-3.00
La (0.0000, 0.0000, 0.3010)  12 Pd 2.97-3.04
La (0.0000, 0.0000, 0.6990)  12 Pd 2.97-3.04
La (0.0000, 0.0000, 0.8994)  12 Pd 2.98-3.00
Ce (0.0000, 0.0000, 0.5000)  12 Pd 2.91-2.98
Pd (0.0000, 0.5000, 0.0000)  8 Pd 2.98-2.99, 4 La 2.99
Pd (0.0000, 0.5000, 0.2018)  4 La 2.97-3.00, 8 Pd 2.98-3.00
Pd (0.0000, 0.5000, 0.4050)  2 Ce 2.91, 8 Pd 2.91-3.01, 2 La 3.04
Pd (0.0000, 0.5000, 0.5950)  2 Ce 2.91, 8 Pd 2.91-3.01, 2 La 3.04
Pd (0.0000, 0.5000, 0.7982)  4 La 2.97-3.00, 8 Pd 2.98-3.00
Pd (0.5000, 0.0000, 0.0000)  8 Pd 2.98-2.99, 4 La 2.99
Pd (0.5000, 0.0000, 0.2018)  4 La 2.97-3.00, 8 Pd 2.98-3.00
Pd (0.5000, 0.0000, 0.4050)  2 Ce 2.91, 8 Pd 2.91-3.01, 2 La 3.04
Pd (0.5000, 0.0000, 0.5950)  2 Ce 2.91, 8 Pd 2.91-3.01, 2 La 3.04
Pd (0.5000, 0.0000, 0.7982)  4 La 2.97-3.00, 8 Pd 2.98-3.00
Pd (0.5000, 0.5000, 0.1008)  4 La 2.98, 8 Pd 2.99-3.00
Pd (0.5000, 0.5000, 0.3030)  4 La 2.98, 8 Pd 3.00-3.01
Pd (0.5000, 0.5000, 0.5000)  8 Pd 2.91, 4 Ce 2.98
Pd (0.5000, 0.5000, 0.6970)  4 La 2.98, 8 Pd 3.00-3.01
Pd (0.5000, 0.5000, 0.8992)  4 La 2.98, 8 Pd 2.99-3.00



(7)
# Cd3Bi2I2

A geometry-optimized Cd3Bi2I2 structure (PBE, Alexandria via LeMat-Bulk).

Calculated values
total magnetization: 0.000 μB/f.u.
E_form (uncorrected): -1.25 eV/f.u.

abc: 4.5485 7.1363 9.4684
angles: 107.19 101.26 94.00
Closest atoms and distances in Å follow each position.
Atoms (fractional coordinates):
Cd (0.0000, 0.0000, 0.0000)  4 Bi 3.00-3.01
Cd (0.3377, 0.6446, 0.6992)  1 Bi 2.84, 3 I 3.01-3.04
Cd (0.6623, 0.3554, 0.3008)  1 Bi 2.84, 3 I 3.01-3.04
Bi (0.4808, 0.7334, 0.0192)  3 Cd 2.84-3.01
Bi (0.5192, 0.2666, 0.9808)  3 Cd 2.84-3.01
I (0.2193, 0.2358, 0.4706)  3 Cd 3.01-3.04
I (0.7807, 0.7642, 0.5294)  3 Cd 3.01-3.04



(8)
# Sm4Se2S

A geometry-optimized Sm4Se2S structure (PBE, Alexandria via LeMat-Bulk).

Calculated values
total magnetization: 0.000 μB/f.u.
E_form (uncorrected): -10.89 eV/f.u.

abc: 4.0215 6.9542 7.8799
angles: 115.64 104.72 90.02
Closest atoms and distances in Å follow each position.
Atoms (fractional coordinates):
Sm (0.1163, 0.4454, 0.2313)  1 S 2.80, 3 Se 2.92-2.95
Sm (0.3817, 0.0425, 0.7625)  2 S 2.81, 3 Se 2.91-2.98
Sm (0.6183, 0.9575, 0.2375)  2 S 2.81, 3 Se 2.91-2.98
Sm (0.8837, 0.5546, 0.7687)  1 S 2.80, 3 Se 2.92-2.95
Se (0.2554, 0.2583, 0.5113)  6 Sm 2.91-2.98
Se (0.7446, 0.7417, 0.4887)  6 Sm 2.91-2.98
S (0.0000, 0.0000, 0.0000)  6 Sm 2.80-2.81



(9)
# EuHgBiAu

A geometry-optimized EuHgBiAu structure (PBE, Alexandria via LeMat-Bulk).

Calculated values
total magnetization: 7.076 μB/f.u.
energy relative to the elements: -189 kJ/mol of formula units

abc: 5.2987 5.2987 5.2987
angles: 60.00 60.00 60.00
Closest atoms and distances in Å follow each position.
Atoms (fractional coordinates):
Eu (0.0000, 0.0000, 0.0000)  4 Hg 3.24, 4 Au 3.24
Hg (0.7500, 0.7500, 0.7500)  4 Bi 3.24, 4 Eu 3.24
Bi (0.5000, 0.5000, 0.5000)  4 Au 3.24, 4 Hg 3.24
Au (0.2500, 0.2500, 0.2500)  4 Bi 3.24, 4 Eu 3.24